# KNa2Zn2

An optimized crystal structure of KNa2Zn2 (PBE, Alexandria via LeMat-Bulk).

Summary:
DOS(E_F) = 7.57 states/eV per cell
DFT total energy = -11.52 eV per cell
energy of formation = 0.105 eV/atom

POSCAR file:
```
KNa2Zn2
1.0
8.706 0.000 0.000
0.000 8.706 0.000
0.000 0.000 4.077
K Na Zn
2 4 4
Direct
0.000 0.000 0.000
0.500 0.500 0.000
0.173 0.327 0.500
0.327 0.827 0.500
0.673 0.173 0.500
0.827 0.673 0.500
0.104 0.604 0.000
0.396 0.104 0.000
0.604 0.896 0.000
0.896 0.396 0.000
```



# Sm2HoTmSe6

An optimized crystal structure of Sm2HoTmSe6 (PBE, Alexandria via LeMat-Bulk).

Summary:
DOS(E_F) = 0.00 states/eV per cell
DFT total energy = -57.83 eV per cell
E_form (uncorrected) = -1843 meV per atom

POSCAR file:
```
Sm2HoTmSe6
1.0
3.632 2.097 6.486
-3.632 2.097 6.486
0.000 -4.194 6.486
Sm Ho Tm Se
2 1 1 6
Direct
0.000 0.000 0.000
0.500 0.500 0.500
0.198 0.198 0.198
0.698 0.698 0.698
0.085 0.808 0.415
0.309 0.588 0.913
0.415 0.085 0.808
0.588 0.913 0.309
0.808 0.415 0.085
0.913 0.309 0.588
```



# AlTcIr2

An optimized crystal structure of AlTcIr2 (PBE, Alexandria via LeMat-Bulk).

Summary:
DOS(E_F) = 4.42 states/eV per cell
DFT total energy = -32.79 eV per cell
energy of formation = -0.240 eV/atom

POSCAR file:
```
AlTcIr2
1.0
1.391 0.803 8.664
-1.391 0.803 8.664
0.000 -1.606 8.664
Al Tc Ir
1 1 2
Direct
0.000 0.000 0.000
0.751 0.751 0.751
0.255 0.255 0.255
0.499 0.499 0.499
```



Number 1: magnetic moment 0.00 μB per cell. Number 2: magnetic moment 0.00 μB per cell. Number 3: magnetic moment 0.00 μB per cell.